The following is a DFT calculation (PBE) of an optimized crystal structure of CaAcBi2.

Unit cell a=4.290 b=4.290 c=7.406 alpha=90.00 beta=90.00 gamma=90.00
Space group P4/mmm (No. 123)
Asymmetric unit:
Ca  0.000  0.000  0.000 x1
Ac  0.000  0.000  0.500 x1
Bi  0.500  0.500  0.239 x2

Calculated values
The value obtained for the formation energy is -717.9 meV/atom. The energy above the most stable polymorph in this dataset is 1.373 kcal/mol of atoms.


The following is a DFT calculation (PBE) of an optimized crystal structure of KTeSeBr2.

Unit cell a=5.738 b=5.738 c=5.491 alpha=90.00 beta=90.00 gamma=90.00
Space group P4/mmm (No. 123)
Asymmetric unit:
K  0.000  0.000  0.000 x1
Te  0.500  0.500  0.500 x1
Se  0.500  0.500  0.000 x1
Br  0.000  0.500  0.500 x2

Calculated values
The energy above the most stable polymorph in this dataset is 0.000 kcal/mol of atoms. Its uncorrected formation energy is -0.60 eV per atom.


The following is a DFT calculation (PBE) of an optimized crystal structure of LaPm5Sc.

Unit cell a=5.734 b=6.212 c=7.681 alpha=80.22 beta=89.91 gamma=62.54
Space group P-1 (No. 2)
Asymmetric unit:
La  0.000  0.000  0.000 x1
Pm  0.291  0.417  0.191 x2
Pm  0.327  0.345  0.620 x2
Pm  0.500  0.000  0.000 x1
Sc  0.000  0.000  0.500 x1

Calculated values
The value obtained for the formation energy is 387.2 meV/atom.


no.,N(E_F) (states/eV per cell),calculated volume (Å³ per cell)
1,2.78,136.3
2,1.78,180.8
3,8.35,238.3